NdFeSi | GGA-PBE | relaxed

```
12
Lattice="3.512 0.000 0.000 0.000 11.137 0.000 0.000 0.000 5.616" Properties=species:S:1:pos:R:3 pbc="T T T"
Nd 0.000 2.115 1.404
Nd 0.000 9.022 4.212
Nd 1.756 3.453 4.212
Nd 1.756 7.683 1.404
Fe 0.000 5.568 0.000
Fe 0.000 5.568 2.808
Fe 1.756 0.000 0.000
Fe 1.756 0.000 2.808
Si 0.000 0.933 4.212
Si 0.000 10.204 1.404
Si 1.756 4.636 1.404
Si 1.756 6.501 4.212
```

Output
ΔE_f (raw)   -1.209 eV per formula unit

Ba2PCl | GGA-PBE | relaxed

```
16
Lattice="7.813 0.000 0.000 0.000 7.813 0.000 0.000 0.000 7.813" Properties=species:S:1:pos:R:3 pbc="T T T"
Ba 0.000 0.000 0.000
Ba 0.000 3.906 3.906
Ba 1.953 1.953 1.953
Ba 1.953 5.860 5.860
Ba 3.906 0.000 3.906
Ba 3.906 3.906 0.000
Ba 5.860 1.953 5.860
Ba 5.860 5.860 1.953
P 0.000 0.000 3.906
P 0.000 3.906 0.000
P 3.906 0.000 0.000
P 3.906 3.906 3.906
Cl 1.953 1.953 5.860
Cl 1.953 5.860 1.953
Cl 5.860 1.953 1.953
Cl 5.860 5.860 5.860
```

Output
Relative energy among the computed polymorphs   942 meV/atom
ΔE_f (raw)   -2.879 eV per formula unit

Co2ReHg | GGA-PBE | relaxed

```
8
Lattice="9.078 0.000 0.000 0.000 2.732 0.000 -1.053 0.000 4.537" Properties=species:S:1:pos:R:3 pbc="T T T"
Co 0.000 0.000 0.000
Co 1.765 1.366 1.246
Co 4.539 1.366 0.000
Co 6.304 0.000 1.246
Re 1.473 0.000 3.799
Re 6.012 1.366 3.799
Hg 3.899 0.000 2.253
Hg 8.438 1.366 2.253
```

Output
DFT formation energy   0.5055 eV per atom

CaAlOs3 | GGA-PBE | relaxed

```
5
Lattice="4.622 0.000 0.000 0.000 4.622 0.000 0.000 0.000 4.622" Properties=species:S:1:pos:R:3 pbc="T T T"
Ca 0.000 0.000 0.000
Al 2.311 2.311 2.311
Os 0.000 0.000 2.311
Os 0.000 2.311 0.000
Os 2.311 0.000 0.000
```

Output
Relative energy among the computed polymorphs   1796 meV/atom
DFT formation energy   2.9759 eV per atom

Ta2OsPt | GGA-PBE | relaxed

```
4
Lattice="2.807 0.000 0.000 0.000 2.807 0.000 0.000 0.000 8.411" Properties=species:S:1:pos:R:3 pbc="T T T"
Ta 0.000 0.000 0.000
Ta 1.404 1.404 2.281
Os 0.000 0.000 4.339
Pt 1.404 1.404 6.300
```

Output
DFT formation energy   -0.0765 eV per atom

Y2ScPt | GGA-PBE | relaxed

```
16
Lattice="7.232 0.000 0.000 0.000 7.232 0.000 0.000 0.000 7.232" Properties=species:S:1:pos:R:3 pbc="T T T"
Y 1.808 1.808 1.808
Y 1.808 1.808 5.424
Y 1.808 5.424 1.808
Y 1.808 5.424 5.424
Y 5.424 1.808 1.808
Y 5.424 1.808 5.424
Y 5.424 5.424 1.808
Y 5.424 5.424 5.424
Sc 0.000 0.000 0.000
Sc 0.000 3.616 3.616
Sc 3.616 0.000 3.616
Sc 3.616 3.616 0.000
Pt 0.000 0.000 3.616
Pt 0.000 3.616 0.000
Pt 3.616 0.000 0.000
Pt 3.616 3.616 3.616
```

Output
Relative energy among the computed polymorphs   269 meV/atom
DFT formation energy   -0.3692 eV per atom

Ni9SbAs2 | GGA-PBE | relaxed

```
12
Lattice="3.649 0.000 0.000 0.000 3.649 0.000 0.000 0.000 10.872" Properties=species:S:1:pos:R:3 pbc="T T T"
Ni 0.000 0.000 0.000
Ni 0.000 0.000 3.681
Ni 0.000 0.000 7.191
Ni 0.000 1.825 1.916
Ni 0.000 1.825 5.436
Ni 0.000 1.825 8.956
Ni 1.825 0.000 1.916
Ni 1.825 0.000 5.436
Ni 1.825 0.000 8.956
Sb 1.825 1.825 0.000
As 1.825 1.825 3.666
As 1.825 1.825 7.206
```

Output
ΔE_f (raw)   -1.706 eV per formula unit

PrThAu2 | GGA-PBE | relaxed

```
4
Lattice="3.970 0.000 0.000 0.000 4.762 0.000 -1.960 0.000 5.677" Properties=species:S:1:pos:R:3 pbc="T T T"
Pr 0.000 0.000 0.000
Th 1.998 2.381 2.548
Au 0.016 0.000 3.084
Au 0.025 2.381 5.062
```

Output
Relative energy among the computed polymorphs   0 meV/atom
DFT formation energy   -0.6875 eV per atom

Na2NpO6 | GGA-PBE | relaxed

```
18
Lattice="4.582 -5.909 0.000 4.582 5.909 0.000 -0.312 0.000 5.821" Properties=species:S:1:pos:R:3 pbc="T T T"
Na 1.830 1.432 0.781
Na 1.674 -1.432 3.691
Na 7.177 1.432 2.130
Na 7.021 -1.432 5.041
Np 4.348 0.959 4.366
Np 4.504 -0.959 1.455
O 0.283 0.476 2.832
O 0.127 -0.476 5.743
O 3.148 2.272 5.028
O 3.367 0.446 2.291
O 3.211 -0.446 5.202
O 5.548 2.272 3.703
O 3.304 -2.272 2.118
O 5.641 0.446 0.619
O 5.485 -0.446 3.530
O 5.704 -2.272 0.793
O 8.725 0.476 0.078
O 8.569 -0.476 2.989
```

Output
Relative energy among the computed polymorphs   0 meV/atom
ΔE_f (raw)   -16.638 eV per formula unit

Cd4In7Hg | GGA-PBE | relaxed

```
12
Lattice="3.640 0.000 0.000 -1.820 3.152 0.000 0.000 0.000 27.188" Properties=species:S:1:pos:R:3 pbc="T T T"
Cd 0.000 2.101 4.517
Cd 0.000 2.101 11.357
Cd 1.820 1.051 15.830
Cd 1.820 1.051 22.670
In 0.000 0.000 6.749
In 0.000 0.000 13.594
In 0.000 0.000 20.438
In 0.000 2.101 18.085
In 0.000 2.101 24.956
In 1.820 1.051 2.232
In 1.820 1.051 9.102
Hg 0.000 0.000 0.000
```

Output
DFT formation energy   0.0488 eV per atom

Th2Co3NiAs4 | GGA-PBE | relaxed

```
10
Lattice="4.210 0.000 0.000 0.000 4.210 0.000 0.000 0.000 9.337" Properties=species:S:1:pos:R:3 pbc="T T T"
Th 0.000 2.105 2.314
Th 2.105 0.000 7.022
Co 0.000 0.000 0.000
Co 0.000 2.105 5.733
Co 2.105 0.000 3.603
Ni 2.105 2.105 0.000
As 0.000 0.000 4.668
As 0.000 2.105 8.097
As 2.105 0.000 1.239
As 2.105 2.105 4.668
```

Output
DFT formation energy   -0.8103 eV per atom

SmYSc2Hg4 | GGA-PBE | relaxed

```
8
Lattice="2.579 1.489 8.439 -2.579 1.489 8.439 0.000 -2.978 8.439" Properties=species:S:1:pos:R:3 pbc="T T T"
Sm 0.000 0.000 0.000
Y 0.000 0.000 12.659
Sc 0.000 0.000 6.321
Sc 0.000 0.000 18.997
Hg 0.000 0.000 3.193
Hg 0.000 0.000 9.528
Hg 0.000 0.000 15.789
Hg 0.000 0.000 22.124
```

Output
DFT formation energy   -0.4454 eV per atom